Entry from Alexandria via LeMat-Bulk: a relaxed structure of AlCrGa (PBE).

Summary:
- Energy above the lowest structure with this stoichiometry: 167 meV/atom
- E: -5.364 eV per atom
- Crystal system: trigonal
- Space group: P3m1
- Calculated density: 5950 kg/m³
- DOS(E_F): 1.80 states/eV per cell
- Calculated formation energy: 0.100 eV/atom

Cell: 4.2825 4.2825 2.6130 Å, 90.00 90.00 120.00°
Fractional coordinates of all 3 atoms:
Al  0.0000  0.0000  0.0000
Cr  0.6667  0.3333  0.5575
Ga  0.3333  0.6667  0.1548

Entry from Alexandria via LeMat-Bulk: a relaxed structure of CaCeCl4 (PBE).

Summary:
- E: -4.676 eV per atom
- Raw formation energy: -2.12 eV per atom
- Crystal system: orthorhombic
- Space group: Cmmm
- Calculated density: 2879 kg/m³
- DOS(E_F): 8.12 states/eV per cell

Cell: 6.8429 6.8429 3.9665 Å, 90.00 90.00 91.12°
Fractional coordinates of all 6 atoms:
Ca  0.0000  0.0000  0.0000
Ce  0.5000  0.5000  0.5000
Cl  0.1963  0.1963  0.5000
Cl  0.2832  0.7168  0.0000
Cl  0.7168  0.2832  0.0000
Cl  0.8037  0.8037  0.5000

Entry from Alexandria via LeMat-Bulk: a relaxed structure of SnBiRh (PBE).

Summary:
- E: -5.225 eV per atom
- Crystal system: tetragonal
- Space group: I4mm
- Calculated density: 10387 kg/m³
- DOS(E_F): 3.18 states/eV per cell
- Calculated formation energy: -0.147 eV/atom

Cell: 6.6938 6.6938 6.6938 Å, 151.34 151.34 40.98°
Fractional coordinates of all 3 atoms:
Sn  0.0000  0.0000  0.0000
Bi  0.7312  0.7312  0.0000
Rh  0.3732  0.3732  0.0000

Entry from Alexandria via LeMat-Bulk: a relaxed structure of TcRu2Cl (PBE).

Summary:
- Energy above the lowest structure with this stoichiometry: 341 meV/atom
- E: -7.025 eV per atom
- Raw formation energy: 0.67 eV per atom
- Crystal system: orthorhombic
- Space group: Immm
- Calculated density: 9882 kg/m³
- DOS(E_F): 4.17 states/eV per cell

Cell: 5.1629 5.1629 5.1629 Å, 147.84 129.00 61.58°
Fractional coordinates of all 4 atoms:
Tc  0.0000  0.0000  0.0000
Ru  0.2702  0.7702  0.5000
Ru  0.7298  0.2298  0.5000
Cl  0.5000  0.5000  0.0000